Record 1
5
Lattice="5.456 0.000 0.000 0.000 5.456 0.000 0.000 0.000 5.618" Properties=species:S:1:pos:R:3 comment="KMnSCl2 (PBE-GGA, relaxed)" polymorph_energy_ev_per_fu=6.79 spacegroup="P4/mmm (123)" n_ef_per_ev_atom=0.758 e_form_raw_ev_per_atom=0.311 m_tot_mub_per_cell=6.127 dft_energy_ev_per_atom=-3.3066 vol_a3_per_cell=167 crystal_system=tetragonal pbc="T T T"
K 0.000 0.000 0.000
Mn 2.728 2.728 2.809
S 0.000 0.000 2.809
Cl 0.000 2.728 0.000
Cl 2.728 0.000 0.000

Record 2
12
Lattice="3.150 1.819 10.296 -3.150 1.819 10.296 0.000 -3.638 10.296" Properties=species:S:1:pos:R:3 comment="KScMn2Cl8 (PBE-GGA, relaxed)" spacegroup="R32 (155)" n_ef_per_ev_atom=0.000 e_form_raw_ev_per_atom=-1.494 m_tot_mub_per_cell=10.000 dft_energy_ev_per_atom=-4.8721 vol_a3_per_cell=354 crystal_system=trigonal pbc="T T T"
K 0.000 0.000 0.000
Sc 0.000 0.000 15.445
Mn 0.000 0.000 7.518
Mn 0.000 0.000 23.371
Cl -0.889 -1.727 13.811
Cl -1.051 -1.634 17.079
Cl 0.000 0.000 9.792
Cl -1.051 1.634 13.811
Cl -0.889 1.727 17.079
Cl 0.000 0.000 21.097
Cl 1.941 0.093 13.811
Cl 1.941 -0.093 17.079

Record 3
9
Lattice="6.611 0.000 0.000 -1.693 6.657 0.000 -0.614 -1.563 6.677" Properties=species:S:1:pos:R:3 comment="KMnSeCl6 (PBE-GGA, relaxed)" spacegroup="P1 (1)" e_form_raw_ev_per_atom=-0.927 m_tot_mub_per_cell=3.940 dft_energy_ev_per_atom=-3.6864 vol_a3_per_cell=294 crystal_system=triclinic pbc="T T T"
K 0.000 0.000 0.000
Mn 2.751 1.149 4.073
Se 2.189 4.380 2.099
Cl 1.315 -0.532 4.278
Cl 0.975 4.740 0.229
Cl 1.556 1.850 2.203
Cl 3.755 0.683 5.995
Cl 4.534 -0.049 2.545
Cl 3.709 3.235 4.102

Record 4
18
Lattice="6.570 0.000 0.000 -3.285 5.690 0.000 0.000 0.000 14.159" Properties=species:S:1:pos:R:3 comment="KSmMnCl6 (PBE-GGA, relaxed)" spacegroup="P-31c (163)" n_ef_per_ev_atom=1.011 e_form_raw_ev_per_atom=-1.565 m_tot_mub_per_cell=1.879 dft_energy_ev_per_atom=-4.4616 vol_a3_per_cell=529 crystal_system=trigonal pbc="T T T"
K 0.000 0.000 0.000
K 0.000 0.000 7.080
Sm 0.000 3.793 3.540
Sm 3.285 1.897 10.619
Mn 0.000 3.793 10.619
Mn 3.285 1.897 3.540
Cl -1.001 2.178 9.177
Cl -1.899 3.734 12.062
Cl 1.001 2.178 12.062
Cl -0.898 5.468 9.177
Cl 2.387 0.222 2.097
Cl 1.386 1.956 4.982
Cl 1.899 3.734 9.177
Cl 0.898 5.468 12.062
Cl 4.183 0.222 4.982
Cl 2.284 3.512 2.097
Cl 5.184 1.956 2.097
Cl 4.286 3.512 4.982

Repeat the second record exactly.
12
Lattice="3.150 1.819 10.296 -3.150 1.819 10.296 0.000 -3.638 10.296" Properties=species:S:1:pos:R:3 comment="KScMn2Cl8 (PBE-GGA, relaxed)" spacegroup="R32 (155)" n_ef_per_ev_atom=0.000 e_form_raw_ev_per_atom=-1.494 m_tot_mub_per_cell=10.000 dft_energy_ev_per_atom=-4.8721 vol_a3_per_cell=354 crystal_system=trigonal pbc="T T T"
K 0.000 0.000 0.000
Sc 0.000 0.000 15.445
Mn 0.000 0.000 7.518
Mn 0.000 0.000 23.371
Cl -0.889 -1.727 13.811
Cl -1.051 -1.634 17.079
Cl 0.000 0.000 9.792
Cl -1.051 1.634 13.811
Cl -0.889 1.727 17.079
Cl 0.000 0.000 21.097
Cl 1.941 0.093 13.811
Cl 1.941 -0.093 17.079